No. 1
Density functional theory data (PBE) for crystalline Ta5As at its relaxed geometry.

Output
mass density = 14.279 Mg/m³
relative energy among the computed polymorphs = 536.9 meV/atom
DFT formation energy = 0.443 eV/atom

Geometry as CIF:
```
data_Ta5As
_space_group_name_H-M_alt 'F -4 3 m'
_space_group_IT_number 216
_space_group_name_Hall 'F -4 2 3'
_cell_length_a 7.6953
_cell_length_b 7.6953
_cell_length_c 7.6953
_cell_angle_alpha 90.00
_cell_angle_beta 90.00
_cell_angle_gamma 90.00
loop_
_atom_site_label
_atom_site_fract_x
_atom_site_fract_y
_atom_site_fract_z
Ta1 0.0000 0.0000 0.0000
Ta2 0.1257 0.1257 0.6257
As1 0.2500 0.2500 0.2500
```


No. 2
Density functional theory data (PBE) for crystalline TaAs3 at its relaxed geometry.

Output
mass density = 9.416 Mg/m³
DFT formation energy = 0.344 eV/atom

Geometry as CIF:
```
data_TaAs3
_space_group_name_H-M_alt 'F m -3 m'
_space_group_IT_number 225
_space_group_name_Hall '-F 4 2 3'
_cell_length_a 6.5900
_cell_length_b 6.5900
_cell_length_c 6.5900
_cell_angle_alpha 90.00
_cell_angle_beta 90.00
_cell_angle_gamma 90.00
loop_
_atom_site_label
_atom_site_fract_x
_atom_site_fract_y
_atom_site_fract_z
Ta1 0.0000 0.0000 0.0000
As1 0.0000 0.0000 0.5000
As2 0.2500 0.2500 0.2500
```